A plane-wave DFT calculation with PBE was carried out for an optimized crystal structure of ReBS2N.

Cell and atoms, written as POSCAR:
```
ReBS2N
1.0
4.730 0.000 0.000
0.000 4.730 0.000
0.000 0.000 2.735
Re B S N
1 1 2 1
Direct
0.000 0.000 0.000
0.500 0.500 0.500
0.000 0.500 0.500
0.500 0.000 0.500
0.500 0.500 0.000
```

Output
**Calculated density**: 7.5 Mg/m³
**ΔE to the lowest computed polymorph**: 0.000 eV/f.u.
**Symmetry**: No. 123
**Uncorrected formation energy**: 79.3 kJ per mole of atoms
**E_tot**: -31.6 eV per cell